(1)
{"formula": "NdTmMgZr", "functional": "GGA-PBE", "state": "relaxed", "lattice_angstrom": [[5.3802, 0.0000, 0.0000], [2.6901, 4.6594, 0.0000], [2.6901, 1.5531, 4.3929]], "species": ["Mg", "Tm", "Nd", "Zr"], "frac_coords": [[0.0000, 0.0000, 0.0000], [0.2500, 0.2500, 0.2500], [0.7500, 0.7500, 0.7500], [0.5000, 0.5000, 0.5000]], "energy_ev_per_cell": -18.83, "n_ef_per_ev_cell": 5.253, "spacegroup": "No. 216", "e_form_ev_per_atom": 0.14}


(2)
{"formula": "Nd4Y4Mg", "functional": "GGA-PBE", "state": "relaxed", "lattice_angstrom": [[-0.8956, 4.9687, -0.7711], [-7.6917, 1.4895, 1.6177], [1.3509, 3.9294, 6.8361]], "species": ["Nd", "Nd", "Nd", "Nd", "Y", "Y", "Y", "Y", "Mg"], "frac_coords": [[0.6659, 0.6682, 0.0000], [0.3341, 0.3318, 0.0000], [0.6659, 0.0000, 0.6682], [0.3341, 0.0000, 0.3318], [0.6674, 0.3326, 0.3326], [0.3326, 0.6674, 0.6674], [0.0000, 0.6674, 0.3326], [0.0000, 0.3326, 0.6674], [0.0000, 0.0000, 0.0000]], "energy_ev_per_cell": -46.39, "e_above_lowest_polymorph_mev_per_atom": 0, "n_ef_per_ev_cell": 11.944, "spacegroup": "No. 139", "e_form_ev_per_atom": 0.01}


(3)
{"formula": "Nd3Y4Mg", "functional": "GGA-PBE", "state": "relaxed", "lattice_angstrom": [[-3.0581, 1.0443, -1.2137], [-2.7292, -2.9501, 4.3384], [2.8399, 10.7744, 7.0244]], "species": ["Y", "Y", "Y", "Y", "Mg", "Nd", "Nd", "Nd"], "frac_coords": [[0.7176, 0.2355, 0.4352], [0.2824, 0.7645, 0.5648], [0.1008, 0.1831, 0.2016], [0.8992, 0.8169, 0.7984], [0.5000, 0.0000, 0.0000], [0.0000, 0.5000, 0.0000], [0.1501, 0.7112, 0.3002], [0.8499, 0.2888, 0.6998]], "energy_ev_per_cell": -40.30, "e_above_lowest_polymorph_mev_per_atom": 179, "n_ef_per_ev_cell": 13.054, "spacegroup": "No. 12", "e_form_ev_per_atom": 0.18}


(4)
{"formula": "Nd2Y4Mg", "functional": "GGA-PBE", "state": "relaxed", "lattice_angstrom": [[11.5478, 0.0000, 0.0000], [0.0000, 6.2199, -2.3208], [0.0000, -0.1523, 6.4012]], "species": ["Nd", "Nd", "Nd", "Nd", "Y", "Y", "Y", "Y", "Y", "Y", "Y", "Y", "Mg", "Mg"], "frac_coords": [[0.0001, 0.7016, 0.3225], [0.9999, 0.2984, 0.6775], [0.5001, 0.7984, 0.6775], [0.4999, 0.2016, 0.3225], [0.7091, 0.7902, 0.2574], [0.7910, 0.7103, 0.7415], [0.7090, 0.2103, 0.7415], [0.7909, 0.2902, 0.2574], [0.2091, 0.7098, 0.7426], [0.2910, 0.7897, 0.2585], [0.2090, 0.2897, 0.2585], [0.2909, 0.2098, 0.7426], [0.0000, 0.0000, 0.0000], [0.5000, 0.5000, 0.0000]], "energy_ev_per_cell": -72.29, "e_above_lowest_polymorph_mev_per_atom": 0, "n_ef_per_ev_cell": 20.983, "spacegroup": "No. 12", "e_form_ev_per_atom": 0.12}


(5)
{"formula": "NdY14Mg", "functional": "GGA-PBE", "state": "relaxed", "lattice_angstrom": [[7.1924, -0.9262, 0.0000], [-2.7893, 6.6939, 0.0000], [0.0000, 0.0000, 11.3378]], "species": ["Nd", "Y", "Y", "Y", "Y", "Y", "Y", "Y", "Y", "Y", "Y", "Y", "Y", "Y", "Y", "Mg"], "frac_coords": [[0.3262, 0.6738, 0.0000], [0.3361, 0.6639, 0.5000], [0.8348, 0.1652, 0.5000], [0.8403, 0.6719, 0.0000], [0.8321, 0.6651, 0.5000], [0.3281, 0.1597, 0.0000], [0.3349, 0.1679, 0.5000], [0.6671, 0.8334, 0.7531], [0.6671, 0.8334, 0.2469], [0.1666, 0.3329, 0.7531], [0.1666, 0.3329, 0.2469], [0.1667, 0.8333, 0.7462], [0.1667, 0.8333, 0.2538], [0.6672, 0.3328, 0.7532], [0.6672, 0.3328, 0.2468], [0.8324, 0.1676, 0.0000]], "energy_ev_per_cell": -96.89, "n_ef_per_ev_cell": 26.252, "spacegroup": "No. 38", "e_form_ev_per_atom": 0.00}


(6)
{"formula": "NdYMg3", "functional": "GGA-PBE", "state": "relaxed", "lattice_angstrom": [[5.8720, 0.0000, 0.0000], [0.0000, 6.4006, 0.0000], [0.0000, -3.2003, 7.6466]], "species": ["Nd", "Nd", "Y", "Y", "Mg", "Mg", "Mg", "Mg", "Mg", "Mg"], "frac_coords": [[0.7500, 0.6037, 0.2074], [0.2500, 0.3963, 0.7926], [0.7500, 0.1917, 0.3834], [0.2500, 0.8083, 0.6166], [0.7500, 0.6196, 0.7210], [0.7500, 0.1014, 0.7210], [0.2500, 0.8986, 0.2790], [0.2500, 0.3804, 0.2790], [0.0000, 0.0000, 0.0000], [0.5000, 0.0000, 0.0000]], "energy_ev_per_cell": -31.48, "e_above_lowest_polymorph_mev_per_atom": 111, "n_ef_per_ev_cell": 10.481, "spacegroup": "No. 63", "e_form_ev_per_atom": 0.05}


(7)
{"formula": "Nd9YMg2", "functional": "GGA-PBE", "state": "relaxed", "lattice_angstrom": [[-1.1344, -4.2602, 2.5157], [3.0205, -2.6405, -3.1095], [11.8308, 2.4215, 9.4358]], "species": ["Nd", "Nd", "Nd", "Nd", "Nd", "Nd", "Nd", "Nd", "Nd", "Y", "Mg", "Mg"], "frac_coords": [[0.5000, 0.5000, 0.0000], [0.5000, 0.5000, 0.3361], [0.5000, 0.5000, 0.6639], [0.5000, 0.0000, 0.1705], [0.5000, 0.0000, 0.5000], [0.5000, 0.0000, 0.8295], [0.0000, 0.5000, 0.1705], [0.0000, 0.5000, 0.5000], [0.0000, 0.5000, 0.8295], [0.0000, 0.0000, 0.0000], [0.0000, 0.0000, 0.3371], [0.0000, 0.0000, 0.6629]], "energy_ev_per_cell": -52.56, "n_ef_per_ev_cell": 18.213, "spacegroup": "No. 123", "e_form_ev_per_atom": 0.00}


(8)
{"formula": "Nd8Y3Mg2", "functional": "GGA-PBE", "state": "relaxed", "lattice_angstrom": [[-1.9698, 0.1398, 8.4365], [-8.7824, -0.0496, 0.3709], [-4.6553, -5.7600, 6.4331]], "species": ["Nd", "Nd", "Nd", "Nd", "Nd", "Nd", "Nd", "Nd", "Y", "Y", "Y", "Mg", "Mg"], "frac_coords": [[0.3966, 0.2945, 0.1182], [0.6034, 0.7055, 0.8818], [0.9127, 0.3382, 0.9788], [0.0873, 0.6618, 0.0212], [0.8153, 0.1725, 0.4720], [0.3218, 0.1528, 0.5874], [0.6782, 0.8472, 0.4126], [0.1847, 0.8275, 0.5280], [0.0000, 0.5000, 0.5000], [0.2437, 0.9927, 0.0707], [0.7563, 0.0073, 0.9293], [0.5384, 0.5698, 0.3016], [0.4616, 0.4302, 0.6984]], "energy_ev_per_cell": -60.62, "n_ef_per_ev_cell": 17.535, "spacegroup": "No. 2", "e_form_ev_per_atom": 0.01}


(9)
{"formula": "Nd4Y3Mg", "functional": "GGA-PBE", "state": "relaxed", "lattice_angstrom": [[-2.3232, 1.7477, -2.2285], [-1.0023, -3.2032, -1.4672], [-14.1522, -1.7139, 13.4094]], "species": ["Y", "Y", "Y", "Mg", "Nd", "Nd", "Nd", "Nd"], "frac_coords": [[0.5000, 0.5000, 0.2413], [0.5000, 0.5000, 0.5000], [0.5000, 0.5000, 0.7587], [0.5000, 0.5000, 0.0000], [0.0000, 0.0000, 0.8877], [0.0000, 0.0000, 0.1123], [0.0000, 0.0000, 0.3712], [0.0000, 0.0000, 0.6288]], "energy_ev_per_cell": -40.13, "e_above_lowest_polymorph_mev_per_atom": 0, "n_ef_per_ev_cell": 11.135, "spacegroup": "No. 123", "e_form_ev_per_atom": -0.01}


(10)
{"formula": "Nd4YMg", "functional": "GGA-PBE", "state": "relaxed", "lattice_angstrom": [[3.6899, 0.0000, 0.0000], [0.0000, 3.6899, 0.0000], [0.0000, 0.0000, 14.5004]], "species": ["Nd", "Nd", "Nd", "Nd", "Y", "Mg"], "frac_coords": [[0.5000, 0.5000, 0.1746], [0.0000, 0.0000, 0.6508], [0.0000, 0.0000, 0.3492], [0.5000, 0.5000, 0.8254], [0.0000, 0.0000, 0.0000], [0.5000, 0.5000, 0.5000]], "energy_ev_per_cell": -27.27, "e_above_lowest_polymorph_mev_per_atom": 0, "n_ef_per_ev_cell": 7.132, "spacegroup": "No. 123", "e_form_ev_per_atom": -0.02}


(11)
{"formula": "Nd3Y12Mg", "functional": "GGA-PBE", "state": "relaxed", "lattice_angstrom": [[5.0547, 0.0000, 0.0000], [0.0000, 5.0547, 0.0000], [0.0000, 0.0000, 20.2842]], "species": ["Nd", "Nd", "Nd", "Y", "Y", "Y", "Y", "Y", "Y", "Y", "Y", "Y", "Y", "Y", "Y", "Mg"], "frac_coords": [[0.0000, 0.0000, 0.2479], [0.0000, 0.0000, 0.5000], [0.0000, 0.0000, 0.7521], [0.5000, 0.5000, 0.0000], [0.5000, 0.5000, 0.2441], [0.5000, 0.5000, 0.5000], [0.5000, 0.5000, 0.7559], [0.5000, 0.0000, 0.1211], [0.5000, 0.0000, 0.3731], [0.5000, 0.0000, 0.6269], [0.5000, 0.0000, 0.8789], [0.0000, 0.5000, 0.1211], [0.0000, 0.5000, 0.3731], [0.0000, 0.5000, 0.6269], [0.0000, 0.5000, 0.8789], [0.0000, 0.0000, 0.0000]], "energy_ev_per_cell": -93.12, "n_ef_per_ev_cell": 22.318, "spacegroup": "No. 123", "e_form_ev_per_atom": 0.02}


(12)
{"formula": "Nd5Y2Mg5", "functional": "GGA-PBE", "state": "relaxed", "lattice_angstrom": [[-1.1383, -3.0391, 1.8116], [7.6191, -3.6616, 2.4575], [2.6180, 3.4246, 11.2026]], "species": ["Nd", "Nd", "Nd", "Nd", "Nd", "Y", "Y", "Mg", "Mg", "Mg", "Mg", "Mg"], "frac_coords": [[0.5000, 0.5000, 0.5000], [0.3306, 0.3107, 0.0282], [0.4371, 0.8802, 0.2457], [0.5629, 0.1198, 0.7543], [0.6694, 0.6893, 0.9718], [0.8828, 0.4751, 0.7593], [0.1172, 0.5249, 0.2407], [0.8274, 0.8449, 0.5004], [0.2372, 0.8099, 0.7158], [0.7628, 0.1901, 0.2842], [0.1726, 0.1551, 0.4996], [0.0000, 0.0000, 0.0000]], "energy_ev_per_cell": -45.26, "n_ef_per_ev_cell": 12.593, "spacegroup": "No. 12", "e_form_ev_per_atom": -0.04}